Record 1
Computed, not measured: an optimized crystal structure of Ce2Ge5Ru at the GGA-PBE level of DFT.

Output
V, Å³/atom: 21.0
Calculated formation energy, eV/atom: -0.464

abc: 6.161 6.161 8.839
angles: 90.00 90.00 90.00
Space group I4mm (No. 107)
One atom of each set of equivalent atoms:
Ce (0.000, 0.500, 0.000) (multiplicity 4)
Ge (0.000, 0.000, 0.039) (multiplicity 2)
Ge (0.217, 0.217, 0.259) (multiplicity 8)
Ru (0.000, 0.000, 0.767) (multiplicity 2)


Record 2
Computed, not measured: an optimized crystal structure of ZrAl3Ni at the GGA-PBE level of DFT.

Output
V, Å³/atom: 17.6
Calculated formation energy, eV/atom: -0.107

abc: 4.448 4.448 4.448
angles: 90.00 90.00 90.00
Space group Pm-3m (No. 221)
One atom of each set of equivalent atoms:
Zr (0.000, 0.000, 0.000) (multiplicity 1)
Al (0.000, 0.500, 0.500) (multiplicity 3)
Ni (0.500, 0.500, 0.500) (multiplicity 1)


Record 3
Computed, not measured: an optimized crystal structure of Ba4OF6 at the GGA-PBE level of DFT.

Output
V, Å³/atom: 21.2
Energy above the lowest structure with this stoichiometry, eV per atom: 0.046

abc: 8.9429 8.9429 6.7423
angles: 90.00 90.00 120.00
Space group P6_3mc (No. 186)
One atom of each set of equivalent atoms:
Ba (0.1837, 0.3673, 0.0000) (multiplicity 6)
Ba (0.3333, 0.6667, 0.4854) (multiplicity 2)
O (0.3333, 0.6667, 0.1169) (multiplicity 2)
F (0.0713, 0.5356, 0.7429) (multiplicity 6)
F (0.1484, 0.2969, 0.3999) (multiplicity 6)


Record 4
Computed, not measured: an optimized crystal structure of Ho2SiTe at the GGA-PBE level of DFT.

Output
V, Å³/atom: 27.3
Energy above the lowest structure with this stoichiometry, eV per atom: 0.066

abc: 4.1893 4.1893 21.5668
angles: 90.00 90.00 120.00
Space group R3m (No. 160, hexagonal axes)
One atom of each set of equivalent atoms:
Ho (0.0000, 0.0000, 0.0000) (multiplicity 3)
Ho (0.0000, 0.0000, 0.1911) (multiplicity 3)
Si (0.0000, 0.0000, 0.5941) (multiplicity 3)
Te (0.0000, 0.0000, 0.7633) (multiplicity 3)


Record 5
Computed, not measured: an optimized crystal structure of BaMgAgSn2 at the GGA-PBE level of DFT.

Output
V, Å³/atom: 35.1
Calculated formation energy, eV/atom: 0.130
Energy above the lowest structure with this stoichiometry, eV per atom: 0.582

abc: 5.398 5.398 6.018
angles: 90.00 90.00 90.00
Space group P4/mmm (No. 123)
One atom of each set of equivalent atoms:
Ba (0.000, 0.000, 0.000) (multiplicity 1)
Mg (0.500, 0.500, 0.000) (multiplicity 1)
Ag (0.000, 0.000, 0.500) (multiplicity 1)
Sn (0.000, 0.500, 0.500) (multiplicity 2)


Record 6
Computed, not measured: an optimized crystal structure of Cs12H2Au5 at the GGA-PBE level of DFT.

Output
V, Å³/atom: 53.7
E_tot, eV per atom: -1.936

abc: 20.133 9.334 11.317
angles: 90.00 106.23 90.00
Space group C2/m (No. 12)
One atom of each set of equivalent atoms:
Cs (0.002, 0.000, 0.202) (multiplicity 4)
Cs (0.007, 0.500, 0.813) (multiplicity 4)
Cs (0.151, 0.252, 0.571) (multiplicity 8)
Cs (0.169, 0.241, 0.090) (multiplicity 8)
H (0.000, 0.245, 0.000) (multiplicity 4)
Au (0.000, 0.500, 0.500) (multiplicity 2)
Au (0.185, 0.000, 0.845) (multiplicity 4)
Au (0.193, 0.000, 0.347) (multiplicity 4)